No. 1
# La4PmHg | Alexandria | PBE-GGA | optimized geometry
data_La4PmHg
_chemical_formula_sum 'La8 Pm2 Hg2'
_space_group_name_H-M_alt 'P -1'
_space_group_IT_number 2
_cell_length_a 5.9965
_cell_length_b 8.6756
_cell_length_c 9.0425
_cell_angle_alpha 63.03
_cell_angle_beta 81.15
_cell_angle_gamma 72.83
loop_
_space_group_symop_operation_xyz
'x,y,z'
'-x,-y,-z'
loop_
_atom_site_label
_atom_site_fract_x
_atom_site_fract_y
_atom_site_fract_z
La1 0.0429 0.2608 0.0996
La2 0.2617 0.4346 0.7220
La3 0.3650 0.9707 0.8726
La4 0.3992 0.2454 0.4126
Pm1 0.1744 0.7603 0.3037
Hg1 0.0000 0.0000 0.5000
Hg2 0.5000 0.5000 0.0000
# - Offset from the most stable computed form: 67 meV per atom
# - Energy of formation from the pure elements: -94 meV per atom
# - Calculated total energy: -0.3103 Ry/atom
# - D(E_F): 16.34 states/eV/cell



No. 2
# KTeIr2 | Alexandria | PBE-GGA | optimized geometry
data_KTeIr2
_chemical_formula_sum 'K2 Te2 Ir4'
_space_group_name_H-M_alt 'I 4/m m m'
_space_group_IT_number 139
_space_group_name_Hall '-I 4 2'
_cell_length_a 4.4186
_cell_length_b 4.4186
_cell_length_c 7.8617
_cell_angle_alpha 90.00
_cell_angle_beta 90.00
_cell_angle_gamma 90.00
loop_
_atom_site_label
_atom_site_fract_x
_atom_site_fract_y
_atom_site_fract_z
K1 0.0000 0.0000 0.0000
Te1 0.0000 0.0000 0.5000
Ir1 0.0000 0.5000 0.2500
# - Calculated total energy: -0.3406 Ry/atom
# - D(E_F): 5.29 states/eV/cell
# - Raw formation energy: 0.856 eV per atom



No. 3
# MnInNi | Alexandria | PBE-GGA | optimized geometry
data_MnInNi
_chemical_formula_sum 'Mn1 In1 Ni1'
_space_group_name_H-M_alt 'P 3 m 1'
_space_group_IT_number 156
_cell_length_a 3.0091
_cell_length_b 3.0091
_cell_length_c 6.2381
_cell_angle_alpha 90.00
_cell_angle_beta 90.00
_cell_angle_gamma 120.00
loop_
_space_group_symop_operation_xyz
'x,y,z'
'-y,x-y,z'
'-x+y,-x,z'
'-y,-x,z'
'-x+y,y,z'
'x,x-y,z'
loop_
_atom_site_label
_atom_site_fract_x
_atom_site_fract_y
_atom_site_fract_z
Mn1 0.0000 0.0000 0.0000
In1 0.6667 0.3333 0.6204
Ni1 0.3333 0.6667 0.2817
# - Energy of formation from the pure elements: 249 meV per atom
# - Calculated total energy: -0.4151 Ry/atom
# - D(E_F): 1.58 states/eV/cell



No. 4
# Mg2InIr | Alexandria | PBE-GGA | optimized geometry
data_Mg2InIr
_chemical_formula_sum 'Mg8 In4 Ir4'
_space_group_name_H-M_alt 'F -4 3 m'
_space_group_IT_number 216
_space_group_name_Hall 'F -4 2 3'
_cell_length_a 6.5853
_cell_length_b 6.5853
_cell_length_c 6.5853
_cell_angle_alpha 90.00
_cell_angle_beta 90.00
_cell_angle_gamma 90.00
loop_
_atom_site_label
_atom_site_fract_x
_atom_site_fract_y
_atom_site_fract_z
Mg1 0.0000 0.0000 0.0000
Mg2 0.2500 0.2500 0.2500
In1 0.0000 0.0000 0.5000
Ir1 0.2500 0.2500 0.7500
# - Energy of formation from the pure elements: -225 meV per atom
# - Calculated total energy: -0.2883 Ry/atom
# - D(E_F): 6.09 states/eV/cell



No. 5
# Na2GeN | Alexandria | PBE-GGA | optimized geometry
data_Na2GeN
_chemical_formula_sum 'Na8 Ge4 N4'
_space_group_name_H-M_alt 'F m -3 m'
_space_group_IT_number 225
_space_group_name_Hall '-F 4 2 3'
_cell_length_a 6.5027
_cell_length_b 6.5027
_cell_length_c 6.5027
_cell_angle_alpha 90.00
_cell_angle_beta 90.00
_cell_angle_gamma 90.00
loop_
_atom_site_label
_atom_site_fract_x
_atom_site_fract_y
_atom_site_fract_z
Na1 0.2500 0.2500 0.2500
Ge1 0.0000 0.0000 0.0000
N1 0.0000 0.0000 0.5000
# - Offset from the most stable computed form: 556 meV per atom
# - Calculated total energy: -0.2223 Ry/atom
# - D(E_F): 7.25 states/eV/cell
# - Raw formation energy: 0.870 eV per atom



No. 6
# Nd4Er2Tm3 | Alexandria | PBE-GGA | optimized geometry
data_Nd4Er2Tm3
_chemical_formula_sum 'Nd16 Er8 Tm12'
_space_group_name_H-M_alt 'C 1 2/c 1'
_space_group_IT_number 15
_cell_length_a 16.7676
_cell_length_b 11.7107
_cell_length_c 5.9779
_cell_angle_alpha 90.00
_cell_angle_beta 97.45
_cell_angle_gamma 90.00
loop_
_space_group_symop_operation_xyz
'x,y,z'
'-x,-y,-z'
'-x,y,-z+1/2'
'x,-y,z+1/2'
'x+1/2,y+1/2,z'
'-x+1/2,-y+1/2,-z'
'-x+1/2,y+1/2,-z+1/2'
'x+1/2,-y+1/2,z+1/2'
loop_
_atom_site_label
_atom_site_fract_x
_atom_site_fract_y
_atom_site_fract_z
Nd1 0.0638 0.1120 0.0440
Nd2 0.2268 0.3897 0.8840
Er1 0.1021 0.3940 0.2978
Tm1 0.0000 0.3518 0.7500
Tm2 0.1694 0.1515 0.5795
# - Offset from the most stable computed form: 42 meV per atom
# - Energy of formation from the pure elements: 91 meV per atom
# - Calculated total energy: -0.3331 Ry/atom
# - D(E_F): 47.57 states/eV/cell



No. 7
# RbNiAsSe2 | Alexandria | PBE-GGA | optimized geometry
data_RbNiAsSe2
_chemical_formula_sum 'Rb1 Ni1 As1 Se2'
_space_group_name_H-M_alt 'P 4/m m m'
_space_group_IT_number 123
_space_group_name_Hall '-P 4 2'
_cell_length_a 5.1822
_cell_length_b 5.1822
_cell_length_c 4.4701
_cell_angle_alpha 90.00
_cell_angle_beta 90.00
_cell_angle_gamma 90.00
loop_
_atom_site_label
_atom_site_fract_x
_atom_site_fract_y
_atom_site_fract_z
Rb1 0.0000 0.0000 0.0000
Ni1 0.5000 0.5000 0.5000
As1 0.5000 0.5000 0.0000
Se1 0.0000 0.5000 0.5000
# - Calculated total energy: -0.2791 Ry/atom
# - D(E_F): 3.70 states/eV/cell
# - Raw formation energy: -0.124 eV per atom



No. 8
# CuAu2Se | Alexandria | PBE-GGA | optimized geometry
data_CuAu2Se
_chemical_formula_sum 'Cu3 Au6 Se3'
_space_group_name_H-M_alt 'R -3 m'
_space_group_IT_number 166
_space_group_name_Hall '-R 3 2"'
_cell_length_a 2.8610
_cell_length_b 2.8610
_cell_length_c 30.7912
_cell_angle_alpha 90.00
_cell_angle_beta 90.00
_cell_angle_gamma 120.00
loop_
_atom_site_label
_atom_site_fract_x
_atom_site_fract_y
_atom_site_fract_z
Cu1 0.0000 0.0000 0.0000
Au1 0.0000 0.0000 0.2636
Se1 0.0000 0.0000 0.5000
# - Calculated total energy: -0.2451 Ry/atom
# - D(E_F): 6.93 states/eV/cell
# - Raw formation energy: 0.199 eV per atom



No. 9
# KPr2IrO5 | Alexandria | PBE-GGA | optimized geometry
data_KPr2IrO5
_chemical_formula_sum 'K2 Pr4 Ir2 O10'
_space_group_name_H-M_alt 'P 4/m b m'
_space_group_IT_number 127
_space_group_name_Hall '-P 4 2ab'
_cell_length_a 6.9430
_cell_length_b 6.9430
_cell_length_c 5.8845
_cell_angle_alpha 90.00
_cell_angle_beta 90.00
_cell_angle_gamma 90.00
loop_
_atom_site_label
_atom_site_fract_x
_atom_site_fract_y
_atom_site_fract_z
K1 0.0000 0.0000 0.0000
Pr1 0.1793 0.3207 0.5000
Ir1 0.0000 0.5000 0.0000
O1 0.0000 0.0000 0.5000
O2 0.1314 0.6314 0.2510
# - Calculated total energy: -0.5250 Ry/atom
# - D(E_F): 8.33 states/eV/cell
# - Raw formation energy: -2.220 eV per atom



No. 10
# Tl3In2Pb2 | Alexandria | PBE-GGA | optimized geometry
data_Tl3In2Pb2
_chemical_formula_sum 'Tl6 In4 Pb4'
_space_group_name_H-M_alt 'C 1 2/m 1'
_space_group_IT_number 12
_cell_length_a 10.7219
_cell_length_b 5.0068
_cell_length_c 7.9889
_cell_angle_alpha 90.00
_cell_angle_beta 100.05
_cell_angle_gamma 90.00
loop_
_space_group_symop_operation_xyz
'x,y,z'
'-x,-y,-z'
'-x,y,-z'
'x,-y,z'
'x+1/2,y+1/2,z'
'-x+1/2,-y+1/2,-z'
'-x+1/2,y+1/2,-z'
'x+1/2,-y+1/2,z'
loop_
_atom_site_label
_atom_site_fract_x
_atom_site_fract_y
_atom_site_fract_z
Tl1 0.0000 0.0000 0.0000
Tl2 0.2113 0.5000 0.1451
In1 0.1408 0.0000 0.4303
Pb1 0.0752 0.5000 0.7017
# - Offset from the most stable computed form: 0 meV per atom
# - Energy of formation from the pure elements: 8 meV per atom
# - Calculated total energy: -0.2093 Ry/atom
# - D(E_F): 5.12 states/eV/cell



No. 11
# PrNd6Sc | Alexandria | PBE-GGA | optimized geometry
data_PrNd6Sc
_chemical_formula_sum 'Pr1 Nd6 Sc1'
_space_group_name_H-M_alt 'P 4/m m m'
_space_group_IT_number 123
_space_group_name_Hall '-P 4 2'
_cell_length_a 5.1412
_cell_length_b 5.1412
_cell_length_c 10.2706
_cell_angle_alpha 90.00
_cell_angle_beta 90.00
_cell_angle_gamma 90.00
loop_
_atom_site_label
_atom_site_fract_x
_atom_site_fract_y
_atom_site_fract_z
Pr1 0.0000 0.0000 0.0000
Nd1 0.0000 0.5000 0.2575
Nd2 0.5000 0.5000 0.0000
Nd3 0.5000 0.5000 0.5000
Sc1 0.0000 0.0000 0.5000
# - Offset from the most stable computed form: 0 meV per atom
# - Energy of formation from the pure elements: 32 meV per atom
# - Calculated total energy: -0.3625 Ry/atom
# - D(E_F): 13.77 states/eV/cell



No. 12
# Ga2SnSb | Alexandria | PBE-GGA | optimized geometry
data_Ga2SnSb
_chemical_formula_sum 'Ga2 Sn1 Sb1'
_space_group_name_H-M_alt 'P 4/m m m'
_space_group_IT_number 123
_space_group_name_Hall '-P 4 2'
_cell_length_a 4.7471
_cell_length_b 4.7471
_cell_length_c 4.2140
_cell_angle_alpha 90.00
_cell_angle_beta 90.00
_cell_angle_gamma 90.00
loop_
_atom_site_label
_atom_site_fract_x
_atom_site_fract_y
_atom_site_fract_z
Ga1 0.0000 0.5000 0.0000
Sn1 0.0000 0.0000 0.5000
Sb1 0.5000 0.5000 0.5000
# - Offset from the most stable computed form: 79 meV per atom
# - Calculated total energy: -0.2548 Ry/atom
# - D(E_F): 2.00 states/eV/cell
# - Raw formation energy: 0.078 eV per atom



No. 13
# PrAl4Au6 | Alexandria | PBE-GGA | optimized geometry
data_PrAl4Au6
_chemical_formula_sum 'Pr1 Al4 Au6'
_space_group_name_H-M_alt 'P -6'
_space_group_IT_number 174
_cell_length_a 7.4361
_cell_length_b 7.4361
_cell_length_c 4.2981
_cell_angle_alpha 90.00
_cell_angle_beta 90.00
_cell_angle_gamma 120.00
loop_
_space_group_symop_operation_xyz
'x,y,z'
'-x+y,-x,-z'
'-y,x-y,z'
'x,y,-z'
'-x+y,-x,z'
'-y,x-y,-z'
loop_
_atom_site_label
_atom_site_fract_x
_atom_site_fract_y
_atom_site_fract_z
Pr1 0.0000 0.0000 0.0000
Al1 0.2007 0.4012 0.5000
Al2 0.6667 0.3333 0.0000
Au1 0.0684 0.5333 0.0000
Au2 0.3911 0.1957 0.5000
# - Energy of formation from the pure elements: -540 meV per atom
# - Calculated total energy: -0.3030 Ry/atom
# - D(E_F): 3.52 states/eV/cell